Entry from Alexandria via LeMat-Bulk: a relaxed structure of Ho4U3S8 (PBE-GGA).

The value obtained for the uncorrected formation energy is -1744 meV/atom. Its space-group type is No. 12. Its crystal system is monoclinic. The mass density comes out at 8.24 g/cm³. The value obtained for the calculated total energy is -7.42 eV per atom. The volume comes out at 21.90 Å³/atom.

a = 7.7465 Å, b = 7.7416 Å, c = 7.7416 Å
α = 90.02°, β = 119.98°, γ = 119.98°
With the nearest neighbours (Å) after each atom.
Fractional coordinates of all 15 atoms:
1 S 0.9991 0.2513 0.2513  4 Ho 2.74-2.76, 1 U 2.74
2 Ho 0.0000 0.0000 0.5000  6 S 2.74
3 S 0.0000 0.7485 0.2515  3 Ho 2.74-2.75, 2 U 2.74
4 S 0.5000 0.7512 0.2488  3 Ho 2.72-2.74, 3 U 2.74-2.75
5 U 0.5000 0.5000 0.0000  6 S 2.74
6 Ho 0.5000 0.0000 0.0000  6 S 2.72-2.74
7 Ho 0.0000 0.5000 0.0000  6 S 2.74
8 Ho 0.0000 0.0000 0.0000  6 S 2.75-2.76
9 S 0.4971 0.7499 0.7499  2 Ho 2.72-2.76, 3 U 2.74-2.75
10 S 0.0009 0.7487 0.7487  4 Ho 2.74-2.76, 1 U 2.74
11 U 0.5000 0.0000 0.5000  6 S 2.74
12 U 0.5000 0.5000 0.5000  6 S 2.74-2.75
13 S 0.5000 0.2488 0.7512  3 Ho 2.72-2.74, 3 U 2.74-2.75
14 S 0.0000 0.2515 0.7485  3 Ho 2.74-2.75, 2 U 2.74
15 S 0.5029 0.2501 0.2501  2 Ho 2.72-2.76, 3 U 2.74-2.75